BeNb4N | PBE-GGA | optimized geometry

Results
Mass density, Mg/m³: 7.32
Space-group type: P2_1/c
ΔE_f (raw), eV/f.u.: -1.4
Spin magnetization, Bohr magnetons per cell: 0.00
Raw total energy, eV per atom: -8.96

Cell and atoms, written as POSCAR:
```
BeNb4N
1.0
6.337 0.000 0.000
0.000 5.071 0.000
-3.231 0.000 5.573
Be Nb N
2 8 2
Direct
0.000 0.000 0.000 Be
0.000 0.500 0.500 Be
0.192 0.240 0.357 Nb
0.192 0.260 0.857 Nb
0.343 0.727 0.154 Nb
0.343 0.773 0.654 Nb
0.657 0.227 0.346 Nb
0.657 0.273 0.846 Nb
0.808 0.740 0.143 Nb
0.808 0.760 0.643 Nb
0.500 0.000 0.000 N
0.500 0.500 0.500 N
```